This record from Alexandria via LeMat-Bulk describes a geometry-optimized LaNi4Au structure. The functional is PBE.

```
data_LaNi4Au
_symmetry_space_group_name_H-M 'F -4 3 m'
_symmetry_Int_Tables_number 216
_symmetry_space_group_name_Hall 'F -4 2 3'
_cell_length_a 7.1421
_cell_length_b 7.1421
_cell_length_c 7.1421
_cell_angle_alpha 90.00
_cell_angle_beta 90.00
_cell_angle_gamma 90.00
loop_
_atom_site_label
_atom_site_type_symbol
_atom_site_fract_x
_atom_site_fract_y
_atom_site_fract_z
La1 La 0.0000 0.0000 0.0000
Ni1 Ni 0.1241 0.1241 0.6241
Au1 Au 0.2500 0.2500 0.2500
```

- ΔE_f (eV per formula unit) = -1.64
- total magnetization (μB/f.u.) = 0.830
- calculated volume (Å³/cell) = 364